{"formula": "Tb2Pm12Pr5", "functional": "PBE", "state": "relaxed", "sg": "C2/m, No. 12", "relative_energy_ev_per_fu": 0.85, "m_tot_mub_per_fu": 0.00, "ef_ev_per_atom": 0.165, "cell": [[9.426, -3.617, 0.000], [9.426, 3.617, 0.000], [-3.881, 0.000, 9.797]], "species": ["Tb", "Tb", "Pm", "Pm", "Pm", "Pm", "Pm", "Pm", "Pm", "Pm", "Pm", "Pm", "Pm", "Pm", "Pr", "Pr", "Pr", "Pr", "Pr"], "fractional_positions": [[0.220, 0.780, 0.000], [0.780, 0.220, 0.000], [0.002, 0.002, 0.322], [0.083, 0.585, 0.480], [0.093, 0.589, 0.134], [0.411, 0.907, 0.866], [0.415, 0.917, 0.520], [0.476, 0.476, 0.759], [0.524, 0.524, 0.241], [0.585, 0.083, 0.480], [0.589, 0.093, 0.134], [0.907, 0.411, 0.866], [0.917, 0.415, 0.520], [0.998, 0.998, 0.678], [0.175, 0.175, 0.209], [0.315, 0.315, 0.817], [0.500, 0.500, 0.500], [0.685, 0.685, 0.183], [0.825, 0.825, 0.791]]}